Compound: Ca2CdGa4Au3
Source: Alexandria
Functional: PBE-GGA
Structure: optimized geometry

Results
Magnetization   0.00 μB per formula unit
Calculated formation energy   -508 meV per atom

a b c (Å): 4.314 4.314 11.435
angles (deg): 90.00 90.00 90.00
Space group P-4m2 (No. 115)
Asymmetric unit:
Ca (0.000, 0.500, 0.246) x2
Cd (0.000, 0.000, 0.500) x1
Ga (0.000, 0.000, 0.000) x1
Ga (0.000, 0.500, 0.643) x2
Ga (0.500, 0.500, 0.000) x1
Au (0.000, 0.500, 0.864) x2
Au (0.500, 0.500, 0.500) x1


Compound: KNi3Cl
Source: Alexandria
Functional: PBE-GGA
Structure: optimized geometry

Results
Magnetization   1.81 μB per formula unit
Polymorph energy (0 for the lowest one)   1382 meV per atom
E_form (uncorrected)   2031 meV per atom

a b c (Å): 4.871 4.871 4.871
angles (deg): 90.00 90.00 90.00
Space group Pm-3m (No. 221)
Asymmetric unit:
K (0.000, 0.000, 0.000) x1
Ni (0.000, 0.000, 0.500) x3
Cl (0.500, 0.500, 0.500) x1